# GGA-PBE Zr2MnSbC, optimized geometry
# **Space group**: P4/mmm, No. 123
# **E above lowest polymorph**: 1.620 eV/atom
data_Zr2MnSbC
_cell_length_a 4.767
_cell_length_b 4.767
_cell_length_c 4.628
_cell_angle_alpha 90.00
_cell_angle_beta 90.00
_cell_angle_gamma 90.00
_space_group_name_H-M_alt 'P 1'
_space_group_IT_number 1
_space_group_name_Hall 'P 1'
loop_
_atom_site_label
_atom_site_fract_x
_atom_site_fract_y
_atom_site_fract_z
Zr1 0.000 0.500 0.000
Zr2 0.500 0.000 0.000
Mn1 0.000 0.000 0.000
Sb1 0.000 0.000 0.500
C1 0.500 0.500 0.500


# GGA-PBE ZrMn2SbC, optimized geometry
# **Space group**: P4/mmm, No. 123
# **Final energy**: -8.20 eV per atom
data_ZrMn2SbC
_cell_length_a 4.092
_cell_length_b 4.092
_cell_length_c 4.633
_cell_angle_alpha 90.00
_cell_angle_beta 90.00
_cell_angle_gamma 90.00
_space_group_name_H-M_alt 'P 1'
_space_group_IT_number 1
_space_group_name_Hall 'P 1'
loop_
_atom_site_label
_atom_site_fract_x
_atom_site_fract_y
_atom_site_fract_z
Zr1 0.000 0.000 0.000
Mn1 0.000 0.500 0.500
Mn2 0.500 0.000 0.500
Sb1 0.500 0.500 0.000
C1 0.000 0.000 0.500


# GGA-PBE Zr2MnSbC, optimized geometry
# **Space group**: P4/mmm, No. 123
# **E above lowest polymorph**: 0.000 eV/atom
data_Zr2MnSbC
_cell_length_a 4.689
_cell_length_b 4.689
_cell_length_c 3.897
_cell_angle_alpha 90.00
_cell_angle_beta 90.00
_cell_angle_gamma 90.00
_space_group_name_H-M_alt 'P 1'
_space_group_IT_number 1
_space_group_name_Hall 'P 1'
loop_
_atom_site_label
_atom_site_fract_x
_atom_site_fract_y
_atom_site_fract_z
Zr1 0.000 0.500 0.000
Zr2 0.500 0.000 0.000
Mn1 0.000 0.000 0.500
Sb1 0.500 0.500 0.500
C1 0.000 0.000 0.000


# GGA-PBE Sc3MnC, optimized geometry
# **Formation enthalpy at 0 K**: 0.113 eV per atom
# **Space group**: Pm-3m, No. 221
# **E above lowest polymorph**: 0.000 eV/atom
data_Sc3MnC
_cell_length_a 4.448
_cell_length_b 4.448
_cell_length_c 4.448
_cell_angle_alpha 90.00
_cell_angle_beta 90.00
_cell_angle_gamma 90.00
_space_group_name_H-M_alt 'P 1'
_space_group_IT_number 1
_space_group_name_Hall 'P 1'
loop_
_atom_site_label
_atom_site_fract_x
_atom_site_fract_y
_atom_site_fract_z
Sc1 0.000 0.000 0.500
Sc2 0.000 0.500 0.000
Sc3 0.500 0.000 0.000
Mn1 0.500 0.500 0.500
C1 0.000 0.000 0.000


# GGA-PBE Sc2MnC2, optimized geometry
# **Formation enthalpy at 0 K**: -0.414 eV per atom
# **Space group**: C2/m, No. 12
# **E above lowest polymorph**: 0.000 eV/atom
data_Sc2MnC2
_cell_length_a 5.669
_cell_length_b 5.669
_cell_length_c 6.237
_cell_angle_alpha 116.08
_cell_angle_beta 116.08
_cell_angle_gamma 48.79
_space_group_name_H-M_alt 'P 1'
_space_group_IT_number 1
_space_group_name_Hall 'P 1'
loop_
_atom_site_label
_atom_site_fract_x
_atom_site_fract_y
_atom_site_fract_z
Sc1 0.032 0.032 0.272
Sc2 0.323 0.323 0.888
Sc3 0.677 0.677 0.112
Sc4 0.968 0.968 0.728
Mn1 0.366 0.366 0.371
Mn2 0.634 0.634 0.629
C1 0.182 0.182 0.110
C2 0.486 0.486 0.719
C3 0.514 0.514 0.281
C4 0.818 0.818 0.890


# GGA-PBE ScMn3C2, optimized geometry
# **Formation enthalpy at 0 K**: -0.175 eV per atom
# **Space group**: Amm2, No. 38
data_ScMn3C2
_cell_length_a 2.978
_cell_length_b 4.815
_cell_length_c 4.815
_cell_angle_alpha 82.57
_cell_angle_beta 90.00
_cell_angle_gamma 90.00
_space_group_name_H-M_alt 'P 1'
_space_group_IT_number 1
_space_group_name_Hall 'P 1'
loop_
_atom_site_label
_atom_site_fract_x
_atom_site_fract_y
_atom_site_fract_z
Sc1 0.000 0.000 0.000
Mn1 0.000 0.410 0.410
Mn2 0.500 0.511 0.908
Mn3 0.500 0.908 0.511
C1 0.000 0.683 0.683
C2 0.500 0.238 0.238


# GGA-PBE Sc3MnC, optimized geometry
# **Formation enthalpy at 0 K**: 1.201 eV per atom
# **Space group**: Pm-3m, No. 221
# **E above lowest polymorph**: 1.088 eV/atom
data_Sc3MnC
_cell_length_a 4.641
_cell_length_b 4.641
_cell_length_c 4.641
_cell_angle_alpha 90.00
_cell_angle_beta 90.00
_cell_angle_gamma 90.00
_space_group_name_H-M_alt 'P 1'
_space_group_IT_number 1
_space_group_name_Hall 'P 1'
loop_
_atom_site_label
_atom_site_fract_x
_atom_site_fract_y
_atom_site_fract_z
Sc1 0.000 0.000 0.500
Sc2 0.000 0.500 0.000
Sc3 0.500 0.000 0.000
Mn1 0.000 0.000 0.000
C1 0.500 0.500 0.500


# GGA-PBE Sc2Mn2C3, optimized geometry
# **Formation enthalpy at 0 K**: -0.381 eV per atom
# **Space group**: C2/m, No. 12
data_Sc2Mn2C3
_cell_length_a 5.279
_cell_length_b 5.279
_cell_length_c 5.221
_cell_angle_alpha 106.10
_cell_angle_beta 106.10
_cell_angle_gamma 35.63
_space_group_name_H-M_alt 'P 1'
_space_group_IT_number 1
_space_group_name_Hall 'P 1'
loop_
_atom_site_label
_atom_site_fract_x
_atom_site_fract_y
_atom_site_fract_z
Sc1 0.111 0.111 0.314
Sc2 0.889 0.889 0.686
Mn1 0.346 0.346 0.118
Mn2 0.654 0.654 0.882
C1 0.216 0.216 0.758
C2 0.500 0.500 0.000
C3 0.784 0.784 0.242


# GGA-PBE ScMn2C2, optimized geometry
# **Formation enthalpy at 0 K**: -0.150 eV per atom
# **Space group**: I4/mmm, No. 139
# **E above lowest polymorph**: 0.162 eV/atom
data_ScMn2C2
_cell_length_a 5.133
_cell_length_b 5.133
_cell_length_c 5.133
_cell_angle_alpha 140.50
_cell_angle_beta 140.50
_cell_angle_gamma 57.09
_space_group_name_H-M_alt 'P 1'
_space_group_IT_number 1
_space_group_name_Hall 'P 1'
loop_
_atom_site_label
_atom_site_fract_x
_atom_site_fract_y
_atom_site_fract_z
Sc1 0.000 0.000 0.000
Mn1 0.250 0.750 0.500
Mn2 0.750 0.250 0.500
C1 0.345 0.345 0.000
C2 0.655 0.655 0.000


# GGA-PBE ScMn2C, optimized geometry
# **Formation enthalpy at 0 K**: 0.080 eV per atom
# **Space group**: I-42d, No. 122
data_ScMn2C
_cell_length_a 5.202
_cell_length_b 5.202
_cell_length_c 5.202
_cell_angle_alpha 101.54
_cell_angle_beta 101.54
_cell_angle_gamma 126.86
_space_group_name_H-M_alt 'P 1'
_space_group_IT_number 1
_space_group_name_Hall 'P 1'
loop_
_atom_site_label
_atom_site_fract_x
_atom_site_fract_y
_atom_site_fract_z
Sc1 0.000 0.000 0.000
Sc2 0.750 0.250 0.500
Mn1 0.245 0.625 0.120
Mn2 0.375 0.495 0.620
Mn3 0.505 0.125 0.880
Mn4 0.875 0.755 0.380
C1 0.250 0.750 0.500
C2 0.500 0.500 0.000


# GGA-PBE Sc2MnC, optimized geometry
# **Formation enthalpy at 0 K**: 1.206 eV per atom
# **Space group**: R-3m, No. 166
data_Sc2MnC
_cell_length_a 8.351
_cell_length_b 8.351
_cell_length_c 8.351
_cell_angle_alpha 21.79
_cell_angle_beta 21.79
_cell_angle_gamma 21.79
_space_group_name_H-M_alt 'P 1'
_space_group_IT_number 1
_space_group_name_Hall 'P 1'
loop_
_atom_site_label
_atom_site_fract_x
_atom_site_fract_y
_atom_site_fract_z
Sc1 0.090 0.090 0.090
Sc2 0.910 0.910 0.910
Mn1 0.500 0.500 0.500
C1 0.000 0.000 0.000


# GGA-PBE ScMnC2, optimized geometry
# **Formation enthalpy at 0 K**: -0.067 eV per atom
# **Space group**: R-3m, No. 166
data_ScMnC2
_cell_length_a 5.297
_cell_length_b 5.297
_cell_length_c 5.297
_cell_angle_alpha 33.84
_cell_angle_beta 33.84
_cell_angle_gamma 33.84
_space_group_name_H-M_alt 'P 1'
_space_group_IT_number 1
_space_group_name_Hall 'P 1'
loop_
_atom_site_label
_atom_site_fract_x
_atom_site_fract_y
_atom_site_fract_z
Sc1 0.000 0.000 0.000
Mn1 0.500 0.500 0.500
C1 0.238 0.238 0.238
C2 0.762 0.762 0.762


# GGA-PBE ScMn2C3, optimized geometry
# **Formation enthalpy at 0 K**: 0.056 eV per atom
# **Space group**: P-1, No. 2
data_ScMn2C3
_cell_length_a 4.876
_cell_length_b 6.094
_cell_length_c 6.117
_cell_angle_alpha 66.67
_cell_angle_beta 66.65
_cell_angle_gamma 66.55
_space_group_name_H-M_alt 'P 1'
_space_group_IT_number 1
_space_group_name_Hall 'P 1'
loop_
_atom_site_label
_atom_site_fract_x
_atom_site_fract_y
_atom_site_fract_z
Sc1 0.082 0.169 0.169
Sc2 0.918 0.831 0.831
Mn1 0.001 0.692 0.307
Mn2 0.499 0.308 0.693
Mn3 0.501 0.692 0.307
Mn4 0.999 0.308 0.693
C1 0.174 0.578 0.575
C2 0.328 0.025 0.818
C3 0.329 0.817 0.025
C4 0.671 0.183 0.975
C5 0.672 0.975 0.182
C6 0.826 0.422 0.425


# GGA-PBE ScMn2C2, optimized geometry
# **Formation enthalpy at 0 K**: 0.689 eV per atom
# **Space group**: P4/mbm, No. 127
# **E above lowest polymorph**: 1.001 eV/atom
data_ScMn2C2
_cell_length_a 6.110
_cell_length_b 6.110
_cell_length_c 2.584
_cell_angle_alpha 90.00
_cell_angle_beta 90.00
_cell_angle_gamma 90.00
_space_group_name_H-M_alt 'P 1'
_space_group_IT_number 1
_space_group_name_Hall 'P 1'
loop_
_atom_site_label
_atom_site_fract_x
_atom_site_fract_y
_atom_site_fract_z
Sc1 0.000 0.000 0.000
Sc2 0.500 0.500 0.000
Mn1 0.129 0.371 0.000
Mn2 0.371 0.871 0.000
Mn3 0.629 0.129 0.000
Mn4 0.871 0.629 0.000
C1 0.160 0.660 0.500
C2 0.340 0.160 0.500
C3 0.660 0.840 0.500
C4 0.840 0.340 0.500


# GGA-PBE Sc2MnC2, optimized geometry
# **Formation enthalpy at 0 K**: -0.275 eV per atom
# **Space group**: P4/mbm, No. 127
# **E above lowest polymorph**: 0.139 eV/atom
data_Sc2MnC2
_cell_length_a 5.750
_cell_length_b 5.750
_cell_length_c 3.336
_cell_angle_alpha 90.00
_cell_angle_beta 90.00
_cell_angle_gamma 90.00
_space_group_name_H-M_alt 'P 1'
_space_group_IT_number 1
_space_group_name_Hall 'P 1'
loop_
_atom_site_label
_atom_site_fract_x
_atom_site_fract_y
_atom_site_fract_z
Sc1 0.187 0.313 0.000
Sc2 0.313 0.813 0.000
Sc3 0.687 0.187 0.000
Sc4 0.813 0.687 0.000
Mn1 0.000 0.000 0.500
Mn2 0.500 0.500 0.500
C1 0.097 0.597 0.500
C2 0.403 0.097 0.500
C3 0.597 0.903 0.500
C4 0.903 0.403 0.500


# GGA-PBE ScMnC2, optimized geometry
# **Formation enthalpy at 0 K**: 0.640 eV per atom
# **Space group**: Fm-3m, No. 225
data_ScMnC2
_cell_length_a 3.774
_cell_length_b 3.774
_cell_length_c 3.774
_cell_angle_alpha 60.00
_cell_angle_beta 60.00
_cell_angle_gamma 60.00
_space_group_name_H-M_alt 'P 1'
_space_group_IT_number 1
_space_group_name_Hall 'P 1'
loop_
_atom_site_label
_atom_site_fract_x
_atom_site_fract_y
_atom_site_fract_z
Sc1 0.000 0.000 0.000
Mn1 0.500 0.500 0.500
C1 0.250 0.250 0.250
C2 0.750 0.750 0.750


# GGA-PBE Sc2MnC, optimized geometry
# **Formation enthalpy at 0 K**: 0.826 eV per atom
# **Space group**: F-43m, No. 216
data_Sc2MnC
_cell_length_a 4.197
_cell_length_b 4.197
_cell_length_c 4.197
_cell_angle_alpha 60.00
_cell_angle_beta 60.00
_cell_angle_gamma 60.00
_space_group_name_H-M_alt 'P 1'
_space_group_IT_number 1
_space_group_name_Hall 'P 1'
loop_
_atom_site_label
_atom_site_fract_x
_atom_site_fract_y
_atom_site_fract_z
Sc1 0.000 0.000 0.000
Sc2 0.250 0.250 0.250
Mn1 0.500 0.500 0.500
C1 0.750 0.750 0.750


# GGA-PBE ScMnC2, optimized geometry
# **Formation enthalpy at 0 K**: 0.216 eV per atom
# **Space group**: I-42d, No. 122
data_ScMnC2
_cell_length_a 5.772
_cell_length_b 5.772
_cell_length_c 5.772
_cell_angle_alpha 132.64
_cell_angle_beta 132.64
_cell_angle_gamma 69.22
_space_group_name_H-M_alt 'P 1'
_space_group_IT_number 1
_space_group_name_Hall 'P 1'
loop_
_atom_site_label
_atom_site_fract_x
_atom_site_fract_y
_atom_site_fract_z
Sc1 0.000 0.000 0.000
Sc2 0.750 0.250 0.500
Mn1 0.250 0.750 0.500
Mn2 0.500 0.500 0.000
C1 0.202 0.625 0.077
C2 0.375 0.452 0.577
C3 0.548 0.125 0.923
C4 0.875 0.798 0.423


# GGA-PBE ScMn2C2, optimized geometry
# **Formation enthalpy at 0 K**: 0.111 eV per atom
# **Space group**: I4/mmm, No. 139
# **E above lowest polymorph**: 0.422 eV/atom
data_ScMn2C2
_cell_length_a 4.629
_cell_length_b 4.629
_cell_length_c 4.629
_cell_angle_alpha 132.44
_cell_angle_beta 132.44
_cell_angle_gamma 69.54
_space_group_name_H-M_alt 'P 1'
_space_group_IT_number 1
_space_group_name_Hall 'P 1'
loop_
_atom_site_label
_atom_site_fract_x
_atom_site_fract_y
_atom_site_fract_z
Sc1 0.000 0.000 0.000
Mn1 0.342 0.342 0.000
Mn2 0.658 0.658 0.000
C1 0.250 0.750 0.500
C2 0.750 0.250 0.500


# GGA-PBE ScMn22C6, optimized geometry
# **Formation enthalpy at 0 K**: -0.052 eV per atom
# **Space group**: Fm-3m, No. 225
data_ScMn22C6
_cell_length_a 7.389
_cell_length_b 7.389
_cell_length_c 7.389
_cell_angle_alpha 60.00
_cell_angle_beta 60.00
_cell_angle_gamma 60.00
_space_group_name_H-M_alt 'P 1'
_space_group_IT_number 1
_space_group_name_Hall 'P 1'
loop_
_atom_site_label
_atom_site_fract_x
_atom_site_fract_y
_atom_site_fract_z
Sc1 0.000 0.000 0.000
Mn1 0.000 0.000 0.349
Mn2 0.000 0.000 0.651
Mn3 0.000 0.349 0.000
Mn4 0.000 0.349 0.651
Mn5 0.000 0.651 0.000
Mn6 0.000 0.651 0.349
Mn7 0.148 0.617 0.617
Mn8 0.250 0.250 0.250
Mn9 0.349 0.000 0.000
Mn10 0.349 0.000 0.651
Mn11 0.349 0.651 0.000
Mn12 0.383 0.383 0.383
Mn13 0.383 0.383 0.852
Mn14 0.383 0.852 0.383
Mn15 0.617 0.148 0.617
Mn16 0.617 0.617 0.148
Mn17 0.617 0.617 0.617
Mn18 0.651 0.000 0.000
Mn19 0.651 0.000 0.349
Mn20 0.651 0.349 0.000
Mn21 0.750 0.750 0.750
Mn22 0.852 0.383 0.383
C1 0.269 0.269 0.731
C2 0.269 0.731 0.269
C3 0.269 0.731 0.731
C4 0.731 0.269 0.269
C5 0.731 0.269 0.731
C6 0.731 0.731 0.269